BaSr2LaRu after structural relaxation, computed with PBE.

a = 6.252 Å, b = 6.252 Å, c = 5.285 Å
α = 90.00°, β = 90.00°, γ = 90.00°
Space group P4/mmm (No. 123)
Symmetry-distinct sites (fractional):
Ba 0.000 0.000 0.000
Sr 0.000 0.500 0.500
La 0.500 0.500 0.000
Ru 0.500 0.500 0.500

Values from the calculation:
Formation energy (meV per atom): 24.1
Theoretical density (Mg/m³): 4.4
E_tot (eV/cell): -19.37

---

CaZrCl2 after structural relaxation, computed with PBE.

a = 18.737 Å, b = 3.405 Å, c = 3.407 Å
α = 90.00°, β = 90.66°, γ = 90.00°
Space group Cm (No. 8)
Symmetry-distinct sites (fractional):
Ca 0.000 0.000 0.000
Zr 0.147 0.500 0.510
Cl 0.217 0.000 0.014
Cl 0.423 0.000 0.495

Values from the calculation:
Theoretical density (Mg/m³): 3.1
E_tot (eV/cell): -37.88

---

GdB4 after structural relaxation, computed with PBE.

a = 7.142 Å, b = 7.142 Å, c = 4.048 Å
α = 90.00°, β = 90.00°, γ = 90.00°
Space group P4/mbm (No. 127)
Symmetry-distinct sites (fractional):
Gd 0.183 0.317 0.000
B 0.000 0.000 0.203
B 0.039 0.824 0.500
B 0.087 0.587 0.500

Values from the calculation:
Formation energy (meV per atom): -595.0
Theoretical density (Mg/m³): 6.5
E_tot (eV/cell): -175.06

---

Th4OsAu after structural relaxation, computed with PBE.

a = 8.676 Å, b = 14.991 Å, c = 6.976 Å
α = 90.00°, β = 125.57°, γ = 90.00°
Space group C2/c (No. 15)
Symmetry-distinct sites (fractional):
Th 0.186 0.219 0.186
Th 0.236 0.047 0.737
Os 0.000 0.083 0.250
Au 0.000 0.394 0.750

Values from the calculation:
Formation energy (meV per atom): -212.0
Theoretical density (Mg/m³): 11.8
E_tot (eV/cell): -181.83

---

Question: Look up the E_tot of the fourth one.
Answer: -181.83 eV/cell

---

Question: What is the E_tot in the second record?
Answer: -37.88 eV/cell

---

Question: What is the theoretical density in the second record?
Answer: 3.1 Mg/m³